A plane-wave DFT calculation with GGA-PBE was carried out for a relaxed Ce2Pu3ThP6 crystal.

a = 7.047 Å, b = 12.209 Å, c = 7.000 Å
α = 90.00°, β = 109.62°, γ = 90.00°
Space group C2/m (No. 12)
Asymmetric unit:
Ce 0.000 0.167 0.000 x4
Pu 0.000 0.000 0.500 x2
Pu 0.000 0.333 0.500 x4
Th 0.000 0.500 0.000 x2
P 0.246 0.167 0.742 x8
P 0.249 0.500 0.742 x4

ΔH_f (0 K)	-1.351	eV per atom
total moment	33.32	Bohr magnetons per cell

---

A plane-wave DFT calculation with GGA-PBE was carried out for a relaxed CePu3Th2P6 crystal.

a = 7.076 Å, b = 12.261 Å, c = 7.013 Å
α = 90.00°, β = 109.66°, γ = 90.00°
Space group C2/m (No. 12)
Asymmetric unit:
Ce 0.000 0.000 0.000 x2
Pu 0.000 0.167 0.500 x4
Pu 0.000 0.500 0.500 x2
Th 0.000 0.333 0.000 x4
P 0.246 0.000 0.741 x4
P 0.248 0.334 0.741 x8

ΔH_f (0 K)	-1.365	eV per atom
total moment	32.63	Bohr magnetons per cell

---

Number 1: N(E_F) 57.5 states/eV/cell. Number 2: N(E_F) 56.7 states/eV/cell.